Entry 1:
DFT (PBE-GGA) results for crystalline ScRhO3 at its relaxed geometry.

Computed properties:
- E_form (uncorrected): -1.012 eV per atom
- Magnetic moment: 4.00 μB/f.u.
- DFT total energy: -0.2471 Ha/atom

Structure (CIF):
```
data_ScRhO3
_cell_length_a 4.0060
_cell_length_b 4.0060
_cell_length_c 4.0060
_cell_angle_alpha 90.00
_cell_angle_beta 90.00
_cell_angle_gamma 90.00
_symmetry_space_group_name_H-M 'P m -3 m'
_symmetry_Int_Tables_number 221
_symmetry_space_group_name_Hall '-P 4 2 3'
loop_
_atom_site_label
_atom_site_type_symbol
_atom_site_fract_x
_atom_site_fract_y
_atom_site_fract_z
Sc1 Sc 0.0000 0.0000 0.0000
Rh1 Rh 0.5000 0.5000 0.5000
O1 O 0.0000 0.0000 0.5000
```

=====

Entry 2:
DFT (PBE-GGA) results for crystalline K3Ac2MnSe6 at its relaxed geometry.

Computed properties:
- E_form (uncorrected): -1.373 eV per atom
- Magnetic moment: 4.00 μB/f.u.
- DFT total energy: -0.1778 Ha/atom

Structure (CIF):
```
data_K3Ac2MnSe6
_cell_length_a 7.5332
_cell_length_b 13.1911
_cell_length_c 8.1368
_cell_angle_alpha 90.00
_cell_angle_beta 108.12
_cell_angle_gamma 90.00
_symmetry_space_group_name_H-M 'C 1 2/m 1'
_symmetry_Int_Tables_number 12
_symmetry_space_group_name_Hall '-C 2y'
loop_
_atom_site_label
_atom_site_type_symbol
_atom_site_fract_x
_atom_site_fract_y
_atom_site_fract_z
K1 K 0.0000 0.0000 0.0000
K2 K 0.0000 0.3317 0.0000
Ac1 Ac 0.0000 0.1687 0.5000
Mn1 Mn 0.0000 0.5000 0.5000
Se1 Se 0.2159 0.5000 0.3080
Se2 Se 0.2253 0.3479 0.7126
```